Entry 1:
The following is a DFT calculation (PBE) of a relaxed structure of CePm6Ho2Er3.

Cell: 6.222 10.779 11.827 Å, 90.00 100.12 90.00°
Space group C2/m (No. 12)
Unique sites:
Ce (0.000, 0.000, 0.000) (multiplicity 2)
Pm (0.248, 0.000, 0.749) (multiplicity 4)
Pm (0.249, 0.166, 0.251) (multiplicity 8)
Ho (0.000, 0.333, 0.000) (multiplicity 4)
Er (0.000, 0.167, 0.500) (multiplicity 4)
Er (0.000, 0.500, 0.500) (multiplicity 2)

Results
Energy relative to the elements = 0.04 eV/atom

Entry 2:
The following is a DFT calculation (PBE) of a relaxed structure of Pu4PaPd3.

Cell: 18.553 4.568 4.250 Å, 90.00 103.18 90.00°
Space group C2/m (No. 12)
Unique sites:
Pu (0.112, 0.000, 0.112) (multiplicity 4)
Pu (0.238, 0.000, 0.738) (multiplicity 4)
Pa (0.000, 0.500, 0.000) (multiplicity 2)
Pd (0.000, 0.000, 0.500) (multiplicity 2)
Pd (0.124, 0.500, 0.624) (multiplicity 4)

Results
Energy relative to the elements = -0.23 eV/atom

Entry 3:
The following is a DFT calculation (PBE) of a relaxed structure of LiHoCuPt.

Cell: 6.590 6.590 6.590 Å, 90.00 90.00 90.00°
Space group F-43m (No. 216)
Unique sites:
Li (0.000, 0.000, 0.000) (multiplicity 4)
Ho (0.000, 0.000, 0.500) (multiplicity 4)
Cu (0.250, 0.250, 0.250) (multiplicity 4)
Pt (0.250, 0.250, 0.750) (multiplicity 4)

Results
Energy relative to the elements = -0.56 eV/atom

Entry 4:
The following is a DFT calculation (PBE) of a relaxed structure of Y11In9Ir4.

Cell: 14.571 21.811 3.724 Å, 90.00 90.00 90.00°
Space group Cmmm (No. 65)
Unique sites:
Y (0.000, 0.000, 0.000) (multiplicity 2)
Y (0.000, 0.163, 0.000) (multiplicity 4)
Y (0.000, 0.374, 0.000) (multiplicity 4)
Y (0.188, 0.500, 0.000) (multiplicity 4)
Y (0.247, 0.169, 0.000) (multiplicity 8)
In (0.000, 0.500, 0.500) (multiplicity 2)
In (0.106, 0.263, 0.500) (multiplicity 8)
In (0.145, 0.072, 0.500) (multiplicity 8)
Ir (0.152, 0.399, 0.500) (multiplicity 8)

Results
Energy relative to the elements = -0.67 eV/atom

Entry 5:
The following is a DFT calculation (PBE) of a relaxed structure of KZrTl.

Cell: 3.439 5.045 12.881 Å, 90.00 82.37 90.00°
Space group P1 (No. 1)
Unique sites:
K (0.000, 0.000, 0.000) (multiplicity 1)
K (0.356, 0.499, 0.294) (multiplicity 1)
Zr (0.236, 0.998, 0.535) (multiplicity 1)
Zr (0.642, 0.998, 0.724) (multiplicity 1)
Tl (0.117, 0.498, 0.775) (multiplicity 1)
Tl (0.730, 0.498, 0.548) (multiplicity 1)

Results
Energy relative to the elements = 0.14 eV/atom

Entry 6:
The following is a DFT calculation (PBE) of a relaxed structure of K5Ca3H12.

Cell: 14.320 14.320 14.320 Å, 90.00 90.00 90.00°
Space group Ia-3d (No. 230)
Unique sites:
K (0.000, 0.000, 0.000) (multiplicity 16)
K (0.000, 0.250, 0.375) (multiplicity 24)
Ca (0.000, 0.250, 0.125) (multiplicity 24)
H (0.014, 0.090, 0.656) (multiplicity 96)

Results
Total DFT energy (no corrections) = -2.679 eV per atom

Entry 7:
The following is a DFT calculation (PBE) of a relaxed structure of Sm4ZnSe3.

Cell: 5.928 5.928 11.824 Å, 90.00 90.00 90.00°
Space group I4/mmm (No. 139)
Unique sites:
Sm (0.000, 0.000, 0.248) (multiplicity 4)
Sm (0.000, 0.500, 0.000) (multiplicity 4)
Zn (0.000, 0.000, 0.500) (multiplicity 2)
Se (0.000, 0.000, 0.000) (multiplicity 2)
Se (0.000, 0.500, 0.250) (multiplicity 4)

Results
E_form (uncorrected) = -11.69 eV per formula unit

Entry 8:
The following is a DFT calculation (PBE) of a relaxed structure of TaSiIr.

Cell: 6.427 3.811 7.322 Å, 90.00 90.00 90.00°
Space group Pnma (No. 62)
Unique sites:
Ta (0.024, 0.250, 0.172) (multiplicity 4)
Si (0.233, 0.750, 0.376) (multiplicity 4)
Ir (0.145, 0.250, 0.565) (multiplicity 4)

Results
E_form (uncorrected) = -2.44 eV per formula unit

Entry 9:
The following is a DFT calculation (PBE) of a relaxed structure of Y3ThPa2N6.

Cell: 15.329 3.521 7.047 Å, 90.00 103.11 90.00°
Space group C2/m (No. 12)
Unique sites:
Y (0.000, 0.000, 0.000) (multiplicity 2)
Y (0.167, 0.500, 0.334) (multiplicity 4)
Th (0.000, 0.000, 0.500) (multiplicity 2)
Pa (0.167, 0.500, 0.833) (multiplicity 4)
N (0.006, 0.500, 0.759) (multiplicity 4)
N (0.169, 0.000, 0.076) (multiplicity 4)
N (0.169, 0.000, 0.596) (multiplicity 4)

Results
E_form (uncorrected) = -19.63 eV per formula unit

Entry 10:
The following is a DFT calculation (PBE) of a relaxed structure of KBeAu2.

Cell: 3.376 3.376 7.765 Å, 90.00 90.00 90.00°
Space group P4mm (No. 99)
Unique sites:
K (0.000, 0.000, 0.000) (multiplicity 1)
Be (0.500, 0.500, 0.600) (multiplicity 1)
Au (0.000, 0.000, 0.583) (multiplicity 1)
Au (0.500, 0.500, 0.300) (multiplicity 1)

Results
Energy relative to the elements = 0.06 eV/atom

Entry 11:
The following is a DFT calculation (PBE) of a relaxed structure of Y2Tl3SbSe6.

Cell: 7.286 12.624 8.087 Å, 90.00 107.47 90.00°
Space group C2/m (No. 12)
Unique sites:
Y (0.000, 0.167, 0.000) (multiplicity 4)
Tl (0.000, 0.000, 0.500) (multiplicity 2)
Tl (0.000, 0.332, 0.500) (multiplicity 4)
Sb (0.000, 0.500, 0.000) (multiplicity 2)
Se (0.235, 0.000, 0.206) (multiplicity 4)
Se (0.235, 0.333, 0.205) (multiplicity 8)

Results
E_form (uncorrected) = -12.59 eV per formula unit

Entry 12:
The following is a DFT calculation (PBE) of a relaxed structure of KZrF2.

Cell: 6.516 6.516 6.516 Å, 90.00 90.00 90.00°
Space group Fm-3m (No. 225)
Unique sites:
K (0.000, 0.000, 0.000) (multiplicity 4)
Zr (0.000, 0.000, 0.500) (multiplicity 4)
F (0.250, 0.250, 0.250) (multiplicity 8)

Results
E_form (uncorrected) = -4.88 eV per formula unit

Entry 13:
The following is a DFT calculation (PBE) of a relaxed structure of Mg3Si4.

Cell: 5.968 6.717 8.305 Å, 112.56 95.55 107.56°
Space group P1 (No. 1)
Unique sites:
Mg (0.000, 0.000, 0.000) (multiplicity 1)
Mg (0.001, 0.265, 0.715) (multiplicity 1)
Mg (0.184, 0.869, 0.376) (multiplicity 1)
Mg (0.402, 0.792, 0.709) (multiplicity 1)
Mg (0.749, 0.497, 0.007) (multiplicity 1)
Mg (0.885, 0.377, 0.384) (multiplicity 1)
Si (0.230, 0.551, 0.068) (multiplicity 1)
Si (0.294, 0.317, 0.495) (multiplicity 1)
Si (0.387, 0.404, 0.254) (multiplicity 1)
Si (0.531, 0.120, 0.062) (multiplicity 1)
Si (0.628, 0.814, 0.437) (multiplicity 1)
Si (0.629, 0.865, 0.168) (multiplicity 1)
Si (0.695, 0.491, 0.680) (multiplicity 1)
Si (0.947, 0.815, 0.640) (multiplicity 1)

Results
E_form (uncorrected) = 0.72 eV per formula unit

Entry 14:
The following is a DFT calculation (PBE) of a relaxed structure of GdSnAu.

Cell: 3.566 3.566 11.514 Å, 90.00 90.00 90.00°
Space group I4mm (No. 107)
Unique sites:
Gd (0.000, 0.000, 0.000) (multiplicity 2)
Sn (0.000, 0.000, 0.697) (multiplicity 2)
Au (0.000, 0.000, 0.352) (multiplicity 2)

Results
Energy relative to the elements = -0.59 eV/atom